## a
## Al4Ag3 (SCAN)

Data for a crystal of Al4Ag3 relaxed with PBEsol.

Properties
calculated volume	16.21	A^3/atom
magnetization	0.000	μB per formula unit
space group	No. 12

Cell lengths 12.125, 2.939, 7.060 Å; angles 90.00, 115.56, 90.00 degrees
Fractional positions:
Al (0.140, 0.000, 0.428)
Al (0.211, 0.500, 0.142)
Al (0.289, 0.000, 0.858)
Al (0.360, 0.500, 0.572)
Al (0.640, 0.500, 0.428)
Al (0.711, 0.000, 0.142)
Al (0.789, 0.500, 0.858)
Al (0.860, 0.000, 0.572)
Ag (0.000, 0.000, 0.000)
Ag (0.077, 0.500, 0.717)
Ag (0.423, 0.000, 0.283)
Ag (0.500, 0.500, 0.000)
Ag (0.577, 0.000, 0.717)
Ag (0.923, 0.500, 0.283)

## b
## Al4Ag3 (SCAN)

Data for a crystal of Al4Ag3 relaxed with PBEsol.

Properties
calculated volume	16.20	A^3/atom
magnetization	0.014	μB per formula unit
space group	No. 146

Cell lengths 4.907, 4.907, 4.907 Å; angles 98.83, 98.83, 98.83 degrees
Fractional positions:
Al (0.000, 0.000, 0.000)
Al (0.425, 0.849, 0.709)
Al (0.709, 0.425, 0.849)
Al (0.849, 0.709, 0.425)
Ag (0.141, 0.277, 0.578)
Ag (0.277, 0.578, 0.141)
Ag (0.578, 0.141, 0.277)

According to the calculations, the structures order from most to least stable as a, b.

## a
## SrCa3 (SCAN)

Data for a crystal of SrCa3 relaxed with PBEsol.

Properties
calculated volume	42.69	A^3/atom
magnetization	0.106	μB per formula unit
space group	No. 71

Cell lengths 4.424, 6.225, 12.401 Å; angles 90.00, 90.00, 90.00 degrees
Fractional positions:
Sr (0.000, 0.000, 0.000)
Sr (0.500, 0.500, 0.500)
Ca (0.000, 0.000, 0.500)
Ca (0.000, 0.500, 0.244)
Ca (0.000, 0.500, 0.756)
Ca (0.500, 0.000, 0.256)
Ca (0.500, 0.000, 0.744)
Ca (0.500, 0.500, 0.000)

## b
## SrCa3 (SCAN)

Data for a crystal of SrCa3 relaxed with PBEsol.

Properties
calculated volume	42.66	A^3/atom
magnetization	0.961	μB per formula unit
space group	No. 225

Cell lengths 8.804, 8.804, 8.804 Å; angles 90.00, 90.00, 90.00 degrees
Fractional positions:
Sr (0.000, 0.000, 0.000)
Sr (0.000, 0.500, 0.500)
Sr (0.500, 0.000, 0.500)
Sr (0.500, 0.500, 0.000)
Ca (0.000, 0.000, 0.500)
Ca (0.000, 0.500, 0.000)
Ca (0.250, 0.250, 0.250)
Ca (0.250, 0.250, 0.750)
Ca (0.250, 0.750, 0.250)
Ca (0.250, 0.750, 0.750)
Ca (0.500, 0.000, 0.000)
Ca (0.500, 0.500, 0.500)
Ca (0.750, 0.250, 0.250)
Ca (0.750, 0.250, 0.750)
Ca (0.750, 0.750, 0.250)
Ca (0.750, 0.750, 0.750)

According to the calculations, the structures order from most to least stable as a, b.

## a
## SbP4O12 (SCAN)

Data for a crystal of SbP4O12 relaxed with PBEsol.

Properties
calculated volume	14.34	A^3/atom
magnetization	0.000	μB per formula unit
space group	No. 20

Cell lengths 7.596, 7.596, 17.093 Å; angles 90.00, 90.00, 98.49 degrees
Fractional positions:
Sb (0.032, 0.402, 0.139)
Sb (0.402, 0.032, 0.861)
Sb (0.598, 0.968, 0.361)
Sb (0.968, 0.598, 0.639)
P (0.031, 0.750, 0.841)
P (0.217, 0.689, 0.985)
P (0.250, 0.969, 0.659)
P (0.278, 0.336, 0.698)
P (0.311, 0.783, 0.515)
P (0.336, 0.278, 0.302)
P (0.347, 0.347, 0.000)
P (0.362, 0.638, 0.250)
P (0.638, 0.362, 0.750)
P (0.653, 0.653, 0.500)
P (0.664, 0.722, 0.802)
P (0.689, 0.217, 0.015)
P (0.722, 0.664, 0.198)
P (0.750, 0.031, 0.159)
P (0.783, 0.311, 0.485)
P (0.969, 0.250, 0.341)
O (0.048, 0.642, 0.770)
O (0.061, 0.873, 0.652)
O (0.084, 0.636, 0.914)
O (0.116, 0.648, 0.060)
O (0.127, 0.939, 0.848)
O (0.129, 0.678, 0.527)
O (0.171, 0.233, 0.362)
O (0.184, 0.611, 0.209)
O (0.207, 0.487, 0.656)
O (0.226, 0.303, 0.069)
O (0.233, 0.171, 0.638)
O (0.240, 0.285, 0.780)
O (0.285, 0.240, 0.220)
O (0.303, 0.226, 0.931)
O (0.322, 0.871, 0.973)
O (0.352, 0.884, 0.440)
O (0.354, 0.548, 0.973)
O (0.358, 0.952, 0.730)
O (0.364, 0.916, 0.586)
O (0.384, 0.493, 0.315)
O (0.389, 0.816, 0.291)
O (0.452, 0.646, 0.527)
O (0.487, 0.207, 0.344)
O (0.493, 0.384, 0.685)
O (0.507, 0.616, 0.185)
O (0.513, 0.793, 0.844)
O (0.548, 0.354, 0.027)
O (0.611, 0.184, 0.791)
O (0.616, 0.507, 0.815)
O (0.636, 0.084, 0.086)
O (0.642, 0.048, 0.230)
O (0.646, 0.452, 0.473)
O (0.648, 0.116, 0.940)
O (0.678, 0.129, 0.473)
O (0.697, 0.774, 0.431)
O (0.715, 0.760, 0.720)
O (0.760, 0.715, 0.280)
O (0.767, 0.829, 0.138)
O (0.774, 0.697, 0.569)
O (0.793, 0.513, 0.156)
O (0.816, 0.389, 0.709)
O (0.829, 0.767, 0.862)
O (0.871, 0.322, 0.027)
O (0.873, 0.061, 0.348)
O (0.884, 0.352, 0.560)
O (0.916, 0.364, 0.414)
O (0.939, 0.127, 0.152)
O (0.952, 0.358, 0.270)

## b
## SbP4O12 (SCAN)

Data for a crystal of SbP4O12 relaxed with PBEsol.

Properties
calculated volume	13.83	A^3/atom
magnetization	0.000	μB per formula unit
space group	No. 2

Cell lengths 7.171, 7.731, 9.915 Å; angles 95.52, 108.18, 111.89 degrees
Fractional positions:
Sb (0.000, 0.000, 0.000)
Sb (0.000, 0.500, 0.500)
P (0.021, 0.162, 0.695)
P (0.277, 0.214, 0.511)
P (0.291, 0.762, 0.038)
P (0.487, 0.823, 0.814)
P (0.513, 0.177, 0.186)
P (0.709, 0.238, 0.962)
P (0.723, 0.786, 0.489)
P (0.979, 0.838, 0.305)
O (0.016, 0.353, 0.689)
O (0.082, 0.138, 0.854)
O (0.118, 0.290, 0.430)
O (0.118, 0.824, 0.943)
O (0.196, 0.135, 0.643)
O (0.206, 0.005, 0.404)
O (0.232, 0.607, 0.110)
O (0.286, 0.176, 0.153)
O (0.332, 0.723, 0.663)
O (0.405, 0.724, 0.930)
O (0.484, 0.963, 0.149)
O (0.488, 0.681, 0.431)
O (0.512, 0.319, 0.569)
O (0.516, 0.037, 0.851)
O (0.595, 0.276, 0.070)
O (0.668, 0.277, 0.337)
O (0.714, 0.824, 0.847)
O (0.768, 0.393, 0.890)
O (0.794, 0.995, 0.596)
O (0.804, 0.865, 0.357)
O (0.882, 0.176, 0.057)
O (0.882, 0.710, 0.570)
O (0.918, 0.862, 0.146)
O (0.984, 0.647, 0.311)

According to the calculations, the structures order from most to least stable as b, a.

## a
## YSc2Fe (SCAN)

Data for a crystal of YSc2Fe relaxed with PBEsol.

Properties
calculated volume	20.98	A^3/atom
magnetization	1.222	μB per formula unit
space group	No. 99

Cell lengths 3.197, 3.197, 8.210 Å; angles 90.00, 90.00, 90.00 degrees
Fractional positions:
Y (0.000, 0.000, 0.000)
Sc (0.000, 0.000, 0.626)
Sc (0.500, 0.500, 0.329)
Fe (0.500, 0.500, 0.795)

## b
## YSc2Fe (SCAN)

Data for a crystal of YSc2Fe relaxed with PBEsol.

Properties
calculated volume	20.65	A^3/atom
magnetization	0.065	μB per formula unit
space group	No. 65

Cell lengths 4.409, 4.455, 8.412 Å; angles 90.00, 90.00, 90.00 degrees
Fractional positions:
Y (0.000, 0.000, 0.000)
Y (0.500, 0.500, 0.000)
Sc (0.000, 0.500, 0.326)
Sc (0.000, 0.500, 0.674)
Sc (0.500, 0.000, 0.326)
Sc (0.500, 0.000, 0.674)
Fe (0.000, 0.000, 0.500)
Fe (0.500, 0.500, 0.500)

According to the calculations, the structures order from most to least stable as b, a.

## a
## SbCl (SCAN)

Data for a crystal of SbCl relaxed with PBEsol.

Properties
calculated volume	25.56	A^3/atom
magnetization	0.000	μB per formula unit
space group	No. 51

Cell lengths 6.093, 3.138, 5.347 Å; angles 90.00, 90.00, 90.00 degrees
Fractional positions:
Sb (0.250, 0.000, 0.046)
Sb (0.750, 0.000, 0.954)
Cl (0.250, 0.500, 0.634)
Cl (0.750, 0.500, 0.366)

## b
## SbCl (SCAN)

Data for a crystal of SbCl relaxed with PBEsol.

Properties
calculated volume	24.42	A^3/atom
magnetization	0.000	μB per formula unit
space group	No. 59

Cell lengths 3.316, 5.560, 5.297 Å; angles 90.00, 90.00, 90.00 degrees
Fractional positions:
Sb (0.250, 0.250, 0.001)
Sb (0.750, 0.750, 0.999)
Cl (0.250, 0.750, 0.593)
Cl (0.750, 0.250, 0.407)

According to the calculations, the structures order from most to least stable as a, b.

## a
## Ta2TlTc (SCAN)

Data for a crystal of Ta2TlTc relaxed with PBEsol.

Properties
calculated volume	17.44	A^3/atom
magnetization	1.313	μB per formula unit
space group	No. 216

Cell lengths 6.534, 6.534, 6.534 Å; angles 90.00, 90.00, 90.00 degrees
Fractional positions:
Ta (0.000, 0.000, 0.000)
Ta (0.000, 0.500, 0.500)
Ta (0.250, 0.250, 0.250)
Ta (0.250, 0.750, 0.750)
Ta (0.500, 0.000, 0.500)
Ta (0.500, 0.500, 0.000)
Ta (0.750, 0.250, 0.750)
Ta (0.750, 0.750, 0.250)
Tl (0.000, 0.000, 0.500)
Tl (0.000, 0.500, 0.000)
Tl (0.500, 0.000, 0.000)
Tl (0.500, 0.500, 0.500)
Tc (0.250, 0.250, 0.750)
Tc (0.250, 0.750, 0.250)
Tc (0.750, 0.250, 0.250)
Tc (0.750, 0.750, 0.750)

## b
## Ta2TlTc (SCAN)

Data for a crystal of Ta2TlTc relaxed with PBEsol.

Properties
calculated volume	17.42	A^3/atom
magnetization	0.000	μB per formula unit
space group	No. 119

Cell lengths 4.005, 4.005, 8.685 Å; angles 90.00, 90.00, 90.00 degrees
Fractional positions:
Ta (0.000, 0.000, 0.000)
Ta (0.000, 0.500, 0.250)
Ta (0.500, 0.000, 0.750)
Ta (0.500, 0.500, 0.500)
Tl (0.000, 0.500, 0.750)
Tl (0.500, 0.000, 0.250)
Tc (0.000, 0.000, 0.500)
Tc (0.500, 0.500, 0.000)

According to the calculations, the structures order from most to least stable as b, a.

## a
## NiMoSe2 (SCAN)

Data for a crystal of NiMoSe2 relaxed with PBEsol.

Properties
calculated volume	16.91	A^3/atom
magnetization	0.001	μB per formula unit
space group	No. 166

Cell lengths 3.167, 3.167, 23.362 Å; angles 90.00, 90.00, 120.00 degrees
Fractional positions:
Ni (0.000, 0.000, 0.000)
Ni (0.333, 0.667, 0.667)
Ni (0.667, 0.333, 0.333)
Mo (0.000, 0.000, 0.500)
Mo (0.333, 0.667, 0.167)
Mo (0.667, 0.333, 0.833)
Se (0.000, 0.000, 0.397)
Se (0.000, 0.000, 0.603)
Se (0.333, 0.667, 0.064)
Se (0.333, 0.667, 0.269)
Se (0.667, 0.333, 0.731)
Se (0.667, 0.333, 0.936)

## b
## NiMoSe2 (SCAN)

Data for a crystal of NiMoSe2 relaxed with PBEsol.

Properties
calculated volume	14.85	A^3/atom
magnetization	1.884	μB per formula unit
space group	No. 225

Cell lengths 6.193, 6.193, 6.193 Å; angles 90.00, 90.00, 90.00 degrees
Fractional positions:
Ni (0.000, 0.000, 0.000)
Ni (0.000, 0.500, 0.500)
Ni (0.500, 0.000, 0.500)
Ni (0.500, 0.500, 0.000)
Mo (0.000, 0.000, 0.500)
Mo (0.000, 0.500, 0.000)
Mo (0.500, 0.000, 0.000)
Mo (0.500, 0.500, 0.500)
Se (0.250, 0.250, 0.250)
Se (0.250, 0.250, 0.750)
Se (0.250, 0.750, 0.250)
Se (0.250, 0.750, 0.750)
Se (0.750, 0.250, 0.250)
Se (0.750, 0.250, 0.750)
Se (0.750, 0.750, 0.250)
Se (0.750, 0.750, 0.750)

According to the calculations, the structures order from most to least stable as b, a.

## a
## VPO5 (SCAN)

Data for a crystal of VPO5 relaxed with PBEsol.

Properties
calculated volume	11.68	A^3/atom
magnetization	0.000	μB per formula unit
space group	No. 9

Cell lengths 5.032, 5.032, 7.252 Å; angles 109.03, 109.03, 88.22 degrees
Fractional positions:
V (0.233, 0.767, 0.500)
V (0.767, 0.233, 0.000)
P (0.587, 0.835, 0.212)
P (0.835, 0.587, 0.712)
O (0.038, 0.362, 0.200)
O (0.060, 0.555, 0.607)
O (0.349, 0.857, 0.303)
O (0.362, 0.038, 0.700)
O (0.540, 0.553, 0.543)
O (0.553, 0.540, 0.043)
O (0.555, 0.060, 0.107)
O (0.857, 0.349, 0.803)
O (0.877, 0.883, 0.383)
O (0.883, 0.877, 0.883)

## b
## VPO5 (SCAN)

Data for a crystal of VPO5 relaxed with PBEsol.

Properties
calculated volume	11.61	A^3/atom
magnetization	0.000	μB per formula unit
space group	No. 15

Cell lengths 7.294, 7.294, 10.198 Å; angles 112.81, 112.81, 41.17 degrees
Fractional positions:
V (0.000, 0.500, 0.500)
V (0.040, 0.960, 0.750)
V (0.500, 0.000, 0.000)
V (0.960, 0.040, 0.250)
P (0.343, 0.407, 0.305)
P (0.407, 0.343, 0.805)
P (0.593, 0.657, 0.195)
P (0.657, 0.593, 0.695)
O (0.046, 0.206, 0.402)
O (0.159, 0.725, 0.324)
O (0.206, 0.046, 0.902)
O (0.250, 0.653, 0.846)
O (0.269, 0.363, 0.403)
O (0.275, 0.841, 0.176)
O (0.288, 0.295, 0.146)
O (0.295, 0.288, 0.646)
O (0.347, 0.750, 0.654)
O (0.363, 0.269, 0.903)
O (0.637, 0.731, 0.097)
O (0.653, 0.250, 0.346)
O (0.705, 0.712, 0.354)
O (0.712, 0.705, 0.854)
O (0.725, 0.159, 0.824)
O (0.731, 0.637, 0.597)
O (0.750, 0.347, 0.154)
O (0.794, 0.954, 0.098)
O (0.841, 0.275, 0.676)
O (0.954, 0.794, 0.598)

According to the calculations, the structures order from most to least stable as a, b.

## a
## LiCd2Ag (SCAN)

Data for a crystal of LiCd2Ag relaxed with PBEsol.

Properties
calculated volume	17.81	A^3/atom
magnetization	0.000	μB per formula unit
space group	No. 216

Cell lengths 6.580, 6.580, 6.580 Å; angles 90.00, 90.00, 90.00 degrees
Fractional positions:
Li (0.000, 0.000, 0.000)
Li (0.000, 0.500, 0.500)
Li (0.500, 0.000, 0.500)
Li (0.500, 0.500, 0.000)
Cd (0.000, 0.000, 0.500)
Cd (0.000, 0.500, 0.000)
Cd (0.250, 0.250, 0.250)
Cd (0.250, 0.750, 0.750)
Cd (0.500, 0.000, 0.000)
Cd (0.500, 0.500, 0.500)
Cd (0.750, 0.250, 0.750)
Cd (0.750, 0.750, 0.250)
Ag (0.250, 0.250, 0.750)
Ag (0.250, 0.750, 0.250)
Ag (0.750, 0.250, 0.250)
Ag (0.750, 0.750, 0.750)

## b
## LiCd2Ag (SCAN)

Data for a crystal of LiCd2Ag relaxed with PBEsol.

Properties
calculated volume	17.66	A^3/atom
magnetization	0.000	μB per formula unit
space group	No. 225

Cell lengths 6.562, 6.562, 6.562 Å; angles 90.00, 90.00, 90.00 degrees
Fractional positions:
Li (0.000, 0.000, 0.000)
Li (0.000, 0.500, 0.500)
Li (0.500, 0.000, 0.500)
Li (0.500, 0.500, 0.000)
Cd (0.250, 0.250, 0.250)
Cd (0.250, 0.250, 0.750)
Cd (0.250, 0.750, 0.250)
Cd (0.250, 0.750, 0.750)
Cd (0.750, 0.250, 0.250)
Cd (0.750, 0.250, 0.750)
Cd (0.750, 0.750, 0.250)
Cd (0.750, 0.750, 0.750)
Ag (0.000, 0.000, 0.500)
Ag (0.000, 0.500, 0.000)
Ag (0.500, 0.000, 0.000)
Ag (0.500, 0.500, 0.500)

According to the calculations, the structures order from most to least stable as b, a.

## a
## CoNi2Mo (SCAN)

Data for a crystal of CoNi2Mo relaxed with PBEsol.

Properties
calculated volume	11.30	A^3/atom
magnetization	0.404	μB per formula unit
space group	No. 139

Cell lengths 3.486, 3.486, 7.439 Å; angles 90.00, 90.00, 90.00 degrees
Fractional positions:
Co (0.000, 0.000, 0.000)
Co (0.500, 0.500, 0.500)
Ni (0.000, 0.500, 0.250)
Ni (0.000, 0.500, 0.750)
Ni (0.500, 0.000, 0.250)
Ni (0.500, 0.000, 0.750)
Mo (0.000, 0.000, 0.500)
Mo (0.500, 0.500, 0.000)

## b
## CoNi2Mo (SCAN)

Data for a crystal of CoNi2Mo relaxed with PBEsol.

Properties
calculated volume	11.81	A^3/atom
magnetization	2.828	μB per formula unit
space group	No. 166

Cell lengths 2.568, 2.568, 24.810 Å; angles 90.00, 90.00, 120.00 degrees
Fractional positions:
Co (0.000, 0.000, 0.000)
Co (0.333, 0.667, 0.667)
Co (0.667, 0.333, 0.333)
Ni (0.000, 0.000, 0.254)
Ni (0.000, 0.000, 0.746)
Ni (0.333, 0.667, 0.412)
Ni (0.333, 0.667, 0.921)
Ni (0.667, 0.333, 0.079)
Ni (0.667, 0.333, 0.588)
Mo (0.000, 0.000, 0.500)
Mo (0.333, 0.667, 0.167)
Mo (0.667, 0.333, 0.833)

According to the calculations, the structures order from most to least stable as a, b.

## a
## MnZn2Co (SCAN)

Data for a crystal of MnZn2Co relaxed with PBEsol.

Properties
calculated volume	12.07	A^3/atom
magnetization	4.893	μB per formula unit
space group	No. 123

Cell lengths 2.970, 2.970, 5.477 Å; angles 90.00, 90.00, 90.00 degrees
Fractional positions:
Mn (0.000, 0.000, 0.000)
Zn (0.500, 0.500, 0.263)
Zn (0.500, 0.500, 0.737)
Co (0.000, 0.000, 0.500)

## b
## MnZn2Co (SCAN)

Data for a crystal of MnZn2Co relaxed with PBEsol.

Properties
calculated volume	12.19	A^3/atom
magnetization	4.993	μB per formula unit
space group	No. 123

Cell lengths 3.615, 3.615, 3.730 Å; angles 90.00, 90.00, 90.00 degrees
Fractional positions:
Mn (0.000, 0.000, 0.000)
Zn (0.000, 0.500, 0.500)
Zn (0.500, 0.000, 0.500)
Co (0.500, 0.500, 0.000)

According to the calculations, the structures order from most to least stable as b, a.